# 1
The following is a PBE with a Hubbard U calculation of a relaxed CoGe2AsO crystal, from Alexandria via LeMat-Bulk.

It has space group P4/mmm (No. 123), with a = 4.3811 Å, b = 4.3811 Å, c = 4.3455 Å, α = 90.00°, β = 90.00° and γ = 90.00°. The distinct sites, in fractional coordinates, are Co at (0.0000, 0.0000, 0.0000), Ge at (0.0000, 0.5000, 0.5000), As at (0.5000, 0.5000, 0.0000) and O at (0.5000, 0.5000, 0.5000).

For the volume, the calculation gives 83 Å³ per cell. The raw total energy is -4.405 eV per atom. The calculation puts the total moment at 2.06 μB per cell. Its energy above the most stable polymorph in this dataset is 0 meV per atom.

---

# 2
The following is a PBE with a Hubbard U calculation of a relaxed CoGeAsO6 crystal, from Alexandria via LeMat-Bulk.

It has space group P-31c (No. 163), with a = 4.8951 Å, b = 4.8951 Å, c = 8.7869 Å, α = 90.00°, β = 90.00° and γ = 120.00°. The distinct sites, in fractional coordinates, are Co at (0.0000, 0.0000, 0.0000), Ge at (0.3333, 0.6667, 0.2500), As at (0.3333, 0.6667, 0.7500) and O at (0.0079, 0.3567, 0.6333).

For the volume, the calculation gives 182 Å³ per cell. The raw total energy is -6.076 eV per atom. The calculation puts the total moment at 8.09 μB per cell.

---

# 3
The following is a PBE with a Hubbard U calculation of a relaxed CoGe2AsO crystal, from Alexandria via LeMat-Bulk.

It has space group P4/mmm (No. 123), with a = 4.4434 Å, b = 4.4434 Å, c = 4.3739 Å, α = 90.00°, β = 90.00° and γ = 90.00°. The distinct sites, in fractional coordinates, are Co at (0.0000, 0.0000, 0.0000), Ge at (0.0000, 0.5000, 0.0000), As at (0.0000, 0.0000, 0.5000) and O at (0.5000, 0.5000, 0.5000).

For the volume, the calculation gives 86 Å³ per cell. The raw total energy is -4.267 eV per atom. The calculation puts the total moment at 0.00 μB per cell. Its energy above the most stable polymorph in this dataset is 137 meV per atom.

---

Number 3 is which compound? CoGe2AsO